Record 1
A relaxed PrHoThAl crystal. Source: Alexandria, functional PBE.

Output
* energy relative to the elements: -8 meV/atom
* total moment: 0.000 μB per formula unit

a = 7.7096 Å, b = 7.7096 Å, c = 7.7096 Å
α = 90.00°, β = 90.00°, γ = 90.00°
With the nearest neighbours (Å) after each atom.
Space group F-43m (No. 216)
Asymmetric unit:
Pr1 0.0000 0.0000 0.0000 x4  4 Al 3.34, 4 Ho 3.34
Ho1 0.2500 0.2500 0.2500 x4  4 Pr 3.34, 4 Th 3.34
Th1 0.0000 0.0000 0.5000 x4  4 Ho 3.34, 4 Al 3.34
Al1 0.2500 0.2500 0.7500 x4  4 Th 3.34, 4 Pr 3.34

Record 2
A relaxed PrHoTmAl crystal. Source: Alexandria, functional PBE.

Output
* polymorph energy (0 for the lowest one): 0.135 eV/atom
* energy relative to the elements: -63 meV/atom
* total moment: 0.000 μB per formula unit

a = 7.6218 Å, b = 7.6218 Å, c = 7.6218 Å
α = 90.00°, β = 90.00°, γ = 90.00°
With the nearest neighbours (Å) after each atom.
Space group F-43m (No. 216)
Asymmetric unit:
Pr1 0.0000 0.0000 0.0000 x4  4 Tm 3.30, 4 Al 3.30
Ho1 0.0000 0.0000 0.5000 x4  4 Tm 3.30, 4 Al 3.30
Tm1 0.2500 0.2500 0.2500 x4  4 Pr 3.30, 4 Ho 3.30
Al1 0.2500 0.2500 0.7500 x4  4 Pr 3.30, 4 Ho 3.30

Record 3
A relaxed PrHoTmAl crystal. Source: Alexandria, functional PBE.

Output
* polymorph energy (0 for the lowest one): 0.000 eV/atom
* energy relative to the elements: -198 meV/atom
* total moment: 0.000 μB per formula unit

a = 3.5276 Å, b = 3.5276 Å, c = 9.0690 Å
α = 90.00°, β = 90.00°, γ = 90.00°
With the nearest neighbours (Å) after each atom.
Space group P4mm (No. 99)
Asymmetric unit:
Pr1 0.0000 0.0000 0.0000 x1  4 Pr 3.53, 4 Tm 3.63, 4 Ho 3.66
Ho1 0.5000 0.5000 0.7045 x1  4 Al 3.13
Tm1 0.5000 0.5000 0.2904 x1  4 Al 3.11
Al1 0.0000 0.0000 0.4955 x1  4 Tm 3.11, 4 Ho 3.13

Record 4
A relaxed PrHoAl2Zn2 crystal. Source: Alexandria, functional PBE.

Output
* energy relative to the elements: -448 meV/atom
* total moment: 0.000 μB per formula unit

a = 4.5168 Å, b = 4.5168 Å, c = 7.4105 Å
α = 90.00°, β = 90.00°, γ = 120.00°
With the nearest neighbours (Å) after each atom.
Space group P-3m1 (No. 164)
Asymmetric unit:
Pr1 0.0000 0.0000 0.0000 x1  6 Al 3.30, 6 Zn 3.34
Ho1 0.0000 0.0000 0.5000 x1  6 Zn 3.07, 6 Al 3.10
Al1 0.3333 0.6667 0.7269 x2  3 Zn 2.61
Zn1 0.3333 0.6667 0.2818 x2  3 Al 2.61

Record 5
A relaxed PrHo2Al2Zn2 crystal. Source: Alexandria, functional PBE.

Output
* energy relative to the elements: -308 meV/atom
* total moment: 0.000 μB per formula unit

a = 4.5395 Å, b = 4.5395 Å, c = 27.7214 Å
α = 90.00°, β = 90.00°, γ = 120.00°
With the nearest neighbours (Å) after each atom.
Space group R-3m (No. 166, hexagonal axes)
Asymmetric unit:
Pr1 0.0000 0.0000 0.0000 x3  6 Zn 3.32, 6 Al 3.35, 2 Ho 3.59
Ho1 0.0000 0.0000 0.1294 x6  3 Al 3.02, 3 Zn 3.05, 3 Ho 3.34
Al1 0.0000 0.0000 0.2583 x6  3 Zn 2.62
Zn1 0.0000 0.0000 0.4066 x6  3 Al 2.62

Record 6
A relaxed HoAlPt5 crystal. Source: Alexandria, functional PBE.

Output
* energy relative to the elements: -901 meV/atom
* total moment: 0.000 μB per formula unit

a = 4.0610 Å, b = 4.0610 Å, c = 7.2634 Å
α = 90.00°, β = 90.00°, γ = 90.00°
With the nearest neighbours (Å) after each atom.
Space group P4/mmm (No. 123)
Asymmetric unit:
Ho1 0.0000 0.0000 0.0000 x1  12 Pt 2.87-2.93
Al1 0.5000 0.5000 0.5000 x1  8 Pt 2.53
Pt1 0.0000 0.5000 0.2917 x4  2 Al 2.53
Pt2 0.5000 0.5000 0.0000 x1  4 Ho 2.87, 8 Pt 2.93

Record 7
A relaxed HoAl3Pt crystal. Source: Alexandria, functional PBE.

Output
* polymorph energy (0 for the lowest one): 0.011 eV/atom
* energy relative to the elements: -801 meV/atom
* total moment: 0.000 μB per formula unit

a = 6.7952 Å, b = 4.1726 Å, c = 6.8826 Å
α = 90.00°, β = 105.31°, γ = 90.00°
With the nearest neighbours (Å) after each atom.
Space group P2_1/m (No. 11)
Asymmetric unit:
Ho1 0.1942 0.2500 0.1713 x2  8 Al 3.07-3.42, 2 Pt 3.12
Al1 0.0714 0.2500 0.6492 x2  1 Pt 2.49, 1 Al 2.74
Al2 0.3230 0.7500 0.9020 x2  3 Pt 2.54-2.63, 1 Al 2.70
Al3 0.3420 0.7500 0.5149 x2  3 Pt 2.51-2.58, 2 Al 2.70-2.74
Pt1 0.4516 0.2500 0.7386 x2  7 Al 2.49-2.63

Record 8
A relaxed HoAlPt2 crystal. Source: Alexandria, functional PBE.

Output
* energy relative to the elements: -1180 meV/atom
* total moment: 0.000 μB per formula unit

a = 7.2073 Å, b = 7.0891 Å, c = 5.7366 Å
α = 90.00°, β = 90.00°, γ = 90.00°
With the nearest neighbours (Å) after each atom.
Space group Pnma (No. 62)
Asymmetric unit:
Ho1 0.0250 0.2500 0.1504 x4  8 Pt 3.00-3.12, 3 Al 3.01-3.11
Al1 0.1136 0.7500 0.3537 x4  6 Pt 2.54-2.61
Pt1 0.1871 0.0504 0.5834 x8  3 Al 2.54-2.61, 1 Pt 2.83

Record 9
A relaxed Ho2Al12Pt7 crystal. Source: Alexandria, functional PBE.

Output
* energy relative to the elements: -996 meV/atom
* total moment: 0.000 μB per formula unit

a = 9.9471 Å, b = 9.9471 Å, c = 4.1523 Å
α = 90.00°, β = 90.00°, γ = 120.00°
With the nearest neighbours (Å) after each atom.
Space group P-6 (No. 174)
Asymmetric unit:
Ho1 0.0000 0.0000 0.0000 x1  6 Pt 3.12, 12 Al 3.22-3.42
Ho2 0.3333 0.6667 0.5000 x1  9 Al 3.23-3.48, 6 Pt 3.34
Al1 0.0258 0.2855 0.5000 x3  4 Pt 2.50-2.65
Al2 0.1380 0.7511 0.0000 x3  4 Pt 2.53-2.60, 1 Al 2.77
Al3 0.3739 0.1932 0.0000 x3  4 Pt 2.52-2.56, 3 Al 2.77-2.81
Al4 0.5337 0.4151 0.5000 x3  5 Pt 2.55-2.79, 1 Al 2.81
Pt1 0.0377 0.4574 0.0000 x3  7 Al 2.53-2.65
Pt2 0.2416 0.2259 0.5000 x3  7 Al 2.50-2.60
Pt3 0.6667 0.3333 0.0000 x1  9 Al 2.52-2.79

Record 10
A relaxed HoAl3Pt2 crystal. Source: Alexandria, functional PBE.

Output
* energy relative to the elements: -1029 meV/atom
* total moment: 0.000 μB per formula unit

a = 16.5800 Å, b = 4.1398 Å, c = 9.9972 Å
α = 90.00°, β = 108.05°, γ = 90.00°
With the nearest neighbours (Å) after each atom.
Space group C2/m (No. 12)
Asymmetric unit:
Ho1 0.0000 0.0000 0.0000 x2  6 Pt 3.12-3.13, 6 Al 3.18-3.38
Ho2 0.1571 0.0000 0.7050 x4  9 Al 3.16-3.46, 6 Pt 3.19-3.24
Al1 0.0000 0.5000 0.5000 x2  4 Pt 2.49-2.72, 4 Al 2.74
Al2 0.0412 0.0000 0.3532 x4  4 Pt 2.54-2.63, 3 Al 2.74-2.78
Al3 0.1269 0.5000 0.1997 x4  4 Pt 2.49-2.62, 1 Al 2.71
Al4 0.1752 0.5000 0.9638 x4  4 Pt 2.55-2.61, 1 Al 2.71
Al5 0.2144 0.0000 0.3912 x4  4 Pt 2.44-2.59
Pt1 0.0277 0.5000 0.7828 x4  5 Al 2.54-2.72
Pt2 0.1392 0.5000 0.4546 x4  7 Al 2.44-2.63
Pt3 0.1970 0.0000 0.1295 x4  6 Al 2.54-2.61

Record 11
A relaxed HoAl9Pt2 crystal. Source: Alexandria, functional PBE.

Output
* energy relative to the elements: -517 meV/atom
* total moment: 0.000 μB per formula unit

a = 10.6905 Å, b = 10.6905 Å, c = 7.1346 Å
α = 90.00°, β = 90.00°, γ = 90.00°
With the nearest neighbours (Å) after each atom.
Space group I4_1/amd (No. 141, origin choice 2)
Asymmetric unit:
Ho1 0.0000 0.2500 0.3750 x4  18 Al 3.31-3.57
Al1 0.0000 0.2500 0.8750 x4  4 Pt 2.82, 8 Al 2.88
Al2 0.1212 0.0494 0.6773 x32  6 Al 2.59-2.88, 2 Pt 2.60-2.69
Pt1 0.0000 0.0000 0.0000 x8  10 Al 2.60-2.82

Record 12
A relaxed HoAlPt crystal. Source: Alexandria, functional PBE.

Output
* energy relative to the elements: -1174 meV/atom
* total moment: 0.000 μB per formula unit

a = 6.8702 Å, b = 4.4159 Å, c = 7.7473 Å
α = 90.00°, β = 90.00°, γ = 90.00°
With the nearest neighbours (Å) after each atom.
Space group Pnma (No. 62)
Asymmetric unit:
Ho1 0.0279 0.2500 0.1822 x4  5 Pt 2.85-3.06, 3 Al 3.07-3.19
Al1 0.1466 0.2500 0.5641 x4  4 Pt 2.60-2.67
Pt1 0.2281 0.7500 0.3847 x4  4 Al 2.60-2.67, 1 Ho 2.85

Record 13
A relaxed HoAlPt6 crystal. Source: Alexandria, functional PBE.

Output
* energy relative to the elements: -861 meV/atom
* total moment: 0.000 μB per formula unit

a = 4.0424 Å, b = 4.0424 Å, c = 7.9535 Å
α = 90.00°, β = 90.00°, γ = 90.00°
With the nearest neighbours (Å) after each atom.
Space group P4/mmm (No. 123)
Asymmetric unit:
Ho1 0.0000 0.0000 0.0000 x1  12 Pt 2.86-2.93
Al1 0.0000 0.0000 0.5000 x1  12 Pt 2.75-2.86
Pt1 0.0000 0.5000 0.2660 x4  8 Pt 2.75-2.93, 2 Al 2.75, 2 Ho 2.93
Pt2 0.5000 0.5000 0.0000 x1  4 Ho 2.86, 8 Pt 2.93
Pt3 0.5000 0.5000 0.5000 x1  8 Pt 2.75, 4 Al 2.86

Record 14
A relaxed HoAl3Pt3 crystal. Source: Alexandria, functional PBE.

Output
* energy relative to the elements: -540 meV/atom
* total moment: 0.000 μB per formula unit

a = 6.7605 Å, b = 6.7605 Å, c = 6.7605 Å
α = 90.00°, β = 90.00°, γ = 90.00°
With the nearest neighbours (Å) after each atom.
Space group Pm-3n (No. 223)
Asymmetric unit:
Ho1 0.0000 0.0000 0.0000 x2  12 Al 3.78, 12 Pt 3.78
Al1 0.0000 0.2500 0.5000 x6  4 Pt 2.39
Pt1 0.0000 0.5000 0.2500 x6  4 Al 2.39

Record 15
A relaxed HoAl2Pt9 crystal. Source: Alexandria, functional PBE.

Output
* energy relative to the elements: -801 meV/atom
* total moment: 0.000 μB per formula unit

a = 4.0006 Å, b = 4.0006 Å, c = 11.8729 Å
α = 90.00°, β = 90.00°, γ = 90.00°
With the nearest neighbours (Å) after each atom.
Space group P4/mmm (No. 123)
Asymmetric unit:
Ho1 0.0000 0.0000 0.0000 x1  12 Pt 2.83-2.93
Al1 0.0000 0.0000 0.3384 x2  12 Pt 2.75-2.83
Pt1 0.0000 0.5000 0.1799 x4  2 Al 2.75, 8 Pt 2.76-2.93, 2 Ho 2.93
Pt2 0.0000 0.5000 0.5000 x2  8 Pt 2.76-2.83, 4 Al 2.77
Pt3 0.5000 0.5000 0.0000 x1  4 Ho 2.83, 8 Pt 2.93
Pt4 0.5000 0.5000 0.3398 x2  8 Pt 2.76, 4 Al 2.83

Record 16
A relaxed HoAlPt crystal. Source: Alexandria, functional PBE.

Output
* energy relative to the elements: -880 meV/atom
* total moment: 0.000 μB per formula unit

a = 7.7675 Å, b = 11.0454 Å, c = 12.0183 Å
α = 90.00°, β = 90.00°, γ = 90.00°
With the nearest neighbours (Å) after each atom.
Space group Fddd (No. 70, origin choice 2)
Asymmetric unit:
Ho1 0.0000 0.0000 0.0000 x16  2 Pt 2.91, 2 Al 3.26
Al1 0.1250 0.2532 0.6250 x16  4 Pt 2.52-2.56
Pt1 0.1250 0.1250 0.4474 x16  4 Al 2.52-2.56

Record 17
A relaxed Ho3Al3Pt2 crystal. Source: Alexandria, functional PBE.

Output
* energy relative to the elements: -919 meV/atom
* total moment: 0.000 μB per formula unit

a = 8.0882 Å, b = 14.9138 Å, c = 5.6154 Å
α = 90.00°, β = 90.00°, γ = 90.00°
With the nearest neighbours (Å) after each atom.
Space group Pnma (No. 62)
Asymmetric unit:
Ho1 0.0383 0.1117 0.1137 x8  3 Pt 2.96-3.22, 6 Al 3.04-3.27
Ho2 0.1821 0.2500 0.6280 x4  5 Al 3.02-3.21, 4 Pt 3.08-3.13
Al1 0.1664 0.7500 0.6188 x4  2 Pt 2.59
Al2 0.1830 0.0346 0.6102 x8  3 Pt 2.53-2.59
Pt1 0.1009 0.6073 0.3732 x8  4 Al 2.53-2.59

Record 18
A relaxed HoAlPt crystal. Source: Alexandria, functional PBE.

Output
* energy relative to the elements: -1155 meV/atom
* total moment: 0.000 μB per formula unit

a = 7.0022 Å, b = 4.2642 Å, c = 11.8574 Å
α = 90.00°, β = 90.94°, γ = 90.00°
With the nearest neighbours (Å) after each atom.
Space group P2_1/m (No. 11)
Asymmetric unit:
Ho1 0.0273 0.2500 0.3750 x2  5 Pt 2.90-3.06, 2 Al 3.16
Ho2 0.1528 0.2500 0.0814 x2  5 Pt 2.93-3.07, 3 Al 3.17-3.21
Ho3 0.4696 0.7500 0.7087 x2  5 Pt 2.78-3.00, 1 Al 3.08
Al1 0.1409 0.2500 0.7963 x2  4 Pt 2.67-2.80, 1 Al 2.89
Al2 0.3535 0.7500 0.4569 x2  4 Pt 2.61-2.65
Al3 0.4957 0.7500 0.0840 x2  4 Pt 2.59-2.69, 1 Al 2.89
Pt1 0.2372 0.7500 0.2447 x2  3 Al 2.63-2.68, 2 Ho 2.93
Pt2 0.2693 0.7500 0.9093 x2  5 Al 2.59-2.69, 1 Ho 2.78
Pt3 0.2721 0.2500 0.5744 x2  4 Al 2.61-2.80, 1 Ho 2.90

Record 19
A relaxed Ho2Al5Pt4 crystal. Source: Alexandria, functional PBE.

Output
* energy relative to the elements: -1018 meV/atom
* total moment: 0.000 μB per formula unit

a = 5.3887 Å, b = 9.2458 Å, c = 16.2179 Å
α = 90.00°, β = 90.00°, γ = 90.00°
With the nearest neighbours (Å) after each atom.
Space group Fmmm (No. 69)
Asymmetric unit:
Ho1 0.0000 0.0000 0.1265 x8  6 Pt 3.07-3.15, 10 Al 3.34-3.39
Al1 0.0000 0.0000 0.5000 x4  4 Pt 2.57, 4 Al 2.68
Al2 0.2500 0.2500 0.0000 x8  4 Pt 2.64, 4 Al 2.68-2.69
Al3 0.2500 0.2500 0.2500 x8  4 Pt 2.51, 2 Al 2.69
Pt1 0.0000 0.1594 0.3701 x16  5 Al 2.51-2.64

Record 20
A relaxed Ho2AlPt crystal. Source: Alexandria, functional PBE.

Output
* polymorph energy (0 for the lowest one): 0.032 eV/atom
* energy relative to the elements: -823 meV/atom
* total moment: 0.000 μB per formula unit

a = 3.5629 Å, b = 3.5629 Å, c = 6.9424 Å
α = 90.00°, β = 90.00°, γ = 90.00°
With the nearest neighbours (Å) after each atom.
Space group P4/mmm (No. 123)
Asymmetric unit:
Ho1 0.0000 0.0000 0.2370 x2  4 Pt 3.01, 4 Al 3.11, 1 Ho 3.29
Al1 0.5000 0.5000 0.5000 x1  8 Ho 3.11, 2 Pt 3.47
Pt1 0.5000 0.5000 0.0000 x1  8 Ho 3.01

Record 21
A relaxed Ho2AlPt crystal. Source: Alexandria, functional PBE.

Output
* polymorph energy (0 for the lowest one): 0.102 eV/atom
* energy relative to the elements: -752 meV/atom
* total moment: 0.000 μB per formula unit

a = 7.0790 Å, b = 7.0790 Å, c = 7.0790 Å
α = 90.00°, β = 90.00°, γ = 90.00°
With the nearest neighbours (Å) after each atom.
Space group Fm-3m (No. 225)
Asymmetric unit:
Ho1 0.2500 0.2500 0.2500 x8  4 Al 3.07, 4 Pt 3.07
Al1 0.0000 0.0000 0.0000 x4  8 Ho 3.07
Pt1 0.0000 0.0000 0.5000 x4  8 Ho 3.07